! GeBiI2O GGA-PBEsol optimized geometry; values from VASP
&SYSTEM
  ibrav = 0, nat = 5, ntyp = 4
/
ATOMIC_SPECIES
O 16.00 O.upf
Ge 72.64 Ge.upf
I 126.90 I.upf
Bi 208.98 Bi.upf
CELL_PARAMETERS angstrom
-0.2459 1.9501 -3.7565
-5.6287 1.9614 1.3867
2.3757 5.0676 2.4753
ATOMIC_POSITIONS angstrom
O -0.1230 0.9751 -1.8783
Ge -1.7494 4.4896 0.0527
I -2.8143 0.9807 0.6933
I 1.1878 2.5338 1.2376
Bi 0.0000 0.0000 0.0000
! **Formation energy without anion corrections**: 50.1 kJ/mol of formula units
! **Crystal system**: tetragonal
! **Relative energy among the computed polymorphs**: 0.321 eV per atom
! **Symmetry**: P4/mmm (123)

=====

! YRh2Se GGA-PBEsol optimized geometry; values from VASP
&SYSTEM
  ibrav = 0, nat = 4, ntyp = 3
/
ATOMIC_SPECIES
Se 78.96 Se.upf
Rh 102.91 Rh.upf
Y 88.91 Y.upf
CELL_PARAMETERS angstrom
3.9886 -0.0046 0.0000
-0.0812 3.9878 0.0000
-1.9537 -1.9916 4.4866
ATOMIC_POSITIONS angstrom
Se 0.0000 0.0000 0.0000
Rh 1.0174 -0.9981 2.2433
Rh -1.0174 0.9981 2.2433
Y 1.9537 1.9916 0.0000
! **Formation energy without anion corrections**: -188.1 kJ/mol of formula units
! **Crystal system**: orthorhombic
! **Symmetry**: Fmmm (69)

=====

! MnCrOs2 GGA-PBEsol optimized geometry; values from VASP
&SYSTEM
  ibrav = 0, nat = 4, ntyp = 3
/
ATOMIC_SPECIES
Os 190.23 Os.upf
Cr 52.00 Cr.upf
Mn 54.94 Mn.upf
CELL_PARAMETERS angstrom
2.6440 0.0000 0.0000
1.3220 2.2898 0.0000
1.3220 0.7633 8.4006
ATOMIC_POSITIONS angstrom
Os 1.3220 0.7633 2.0867
Os 3.9660 2.2898 6.3139
Cr 2.6440 1.5265 4.2003
Mn 0.0000 0.0000 0.0000
! **Crystal system**: trigonal
! **Symmetry**: R-3m (166)
! **Formation energy from the elements**: 163 meV/atom

=====

! LiCd5 GGA-PBEsol optimized geometry; values from VASP
&SYSTEM
  ibrav = 0, nat = 6, ntyp = 2
/
ATOMIC_SPECIES
Cd 112.41 Cd.upf
Li 6.94 Li.upf
CELL_PARAMETERS angstrom
4.3065 0.0000 0.0000
0.0000 4.3223 0.0000
-2.1532 0.0000 6.4075
ATOMIC_POSITIONS angstrom
Cd 2.1532 2.1611 2.0762
Cd 2.1532 0.0000 4.2862
Cd 0.0000 0.0000 2.1212
Cd 0.0000 2.1611 4.3312
Cd 0.0000 2.1611 0.0000
Li 2.1532 0.0000 0.0000
! **Crystal system**: orthorhombic
! **Relative energy among the computed polymorphs**: 0.000 eV per atom
! **Symmetry**: Cmmm (65)
! **Formation energy from the elements**: -115 meV/atom

=====

! K2ScMn GGA-PBEsol optimized geometry; values from VASP
&SYSTEM
  ibrav = 0, nat = 4, ntyp = 3
/
ATOMIC_SPECIES
K 39.10 K.upf
Sc 44.96 Sc.upf
Mn 54.94 Mn.upf
CELL_PARAMETERS angstrom
-2.9979 -0.9053 -1.1127
2.6750 -2.9041 -4.8444
-0.9910 -3.8018 5.7631
ATOMIC_POSITIONS angstrom
K 0.8420 -3.3529 0.4593
K -0.4955 -1.9009 2.8815
Sc -0.1614 -1.9047 -2.9785
Mn -1.4989 -0.4526 -0.5563
! **Crystal system**: orthorhombic
! **Relative energy among the computed polymorphs**: 0.009 eV per atom
! **Symmetry**: Cmmm (65)
! **Formation energy from the elements**: 1072 meV/atom

=====

! HfMnHg2Br GGA-PBEsol optimized geometry; values from VASP
&SYSTEM
  ibrav = 0, nat = 5, ntyp = 4
/
ATOMIC_SPECIES
Hg 200.59 Hg.upf
Hf 178.49 Hf.upf
Br 79.90 Br.upf
Mn 54.94 Mn.upf
CELL_PARAMETERS angstrom
4.5960 0.0000 0.0000
0.0000 5.0434 0.0000
0.0000 0.0000 5.0434
ATOMIC_POSITIONS angstrom
Hg 0.0000 2.5217 0.0000
Hg 0.0000 0.0000 2.5217
Hf 2.2980 0.0000 0.0000
Br 2.2980 2.5217 2.5217
Mn 0.0000 0.0000 0.0000
! **Formation energy without anion corrections**: 179.9 kJ/mol of formula units
! **Crystal system**: tetragonal
! **Symmetry**: P4/mmm (123)

=====

! Sr3ZnOs GGA-PBEsol optimized geometry; values from VASP
&SYSTEM
  ibrav = 0, nat = 5, ntyp = 3
/
ATOMIC_SPECIES
Sr 87.62 Sr.upf
Zn 65.41 Zn.upf
Os 190.23 Os.upf
CELL_PARAMETERS angstrom
5.6822 0.0000 0.0000
0.0000 5.6822 0.0000
0.0000 0.0000 5.6822
ATOMIC_POSITIONS angstrom
Sr 0.0000 2.8411 0.0000
Sr 2.8411 0.0000 0.0000
Sr 0.0000 0.0000 2.8411
Zn 2.8411 2.8411 2.8411
Os 0.0000 0.0000 0.0000
! **Crystal system**: cubic
! **Symmetry**: Pm-3m (221)
! **Formation energy from the elements**: 558 meV/atom

=====

! SbPtSe2 GGA-PBEsol optimized geometry; values from VASP
&SYSTEM
  ibrav = 0, nat = 4, ntyp = 3
/
ATOMIC_SPECIES
Pt 195.08 Pt.upf
Se 78.96 Se.upf
Sb 121.76 Sb.upf
CELL_PARAMETERS angstrom
-2.1103 2.0628 -2.7031
-3.9779 -0.4052 -0.1661
-2.8389 6.4086 4.1445
ATOMIC_POSITIONS angstrom
Pt 0.0000 0.0000 0.0000
Se -6.3271 3.3861 -1.3637
Se -2.6000 4.6802 2.6390
Sb -4.4636 4.0331 0.6376
! **Formation energy without anion corrections**: 105.3 kJ/mol of formula units
! **Crystal system**: trigonal
! **Symmetry**: R-3m (166)

=====

! Ba2SbP GGA-PBEsol optimized geometry; values from VASP
&SYSTEM
  ibrav = 0, nat = 4, ntyp = 3
/
ATOMIC_SPECIES
Ba 137.33 Ba.upf
P 30.97 P.upf
Sb 121.76 Sb.upf
CELL_PARAMETERS angstrom
5.5566 0.0000 0.0000
2.7783 4.8121 0.0000
2.7783 1.6040 4.5369
ATOMIC_POSITIONS angstrom
Ba 0.0000 0.0000 0.0000
Ba 8.3349 4.8121 3.4027
P 5.5566 3.2081 2.2685
Sb 2.7783 1.6040 1.1342
! **Formation energy without anion corrections**: -110.6 kJ/mol of formula units
! **Crystal system**: cubic
! **Symmetry**: F-43m (216)

=====

! SiPAu2 GGA-PBEsol optimized geometry; values from VASP
&SYSTEM
  ibrav = 0, nat = 4, ntyp = 3
/
ATOMIC_SPECIES
Au 196.97 Au.upf
P 30.97 P.upf
Si 28.09 Si.upf
CELL_PARAMETERS angstrom
4.1645 0.0000 0.0000
0.0000 4.1645 0.0000
0.0000 0.0000 3.7510
ATOMIC_POSITIONS angstrom
Au 0.0000 2.0823 0.0000
Au 2.0823 0.0000 0.0000
P 2.0823 2.0823 1.8755
Si 0.0000 0.0000 1.8755
! **Formation energy without anion corrections**: 130.9 kJ/mol of formula units
! **Crystal system**: tetragonal
! **Relative energy among the computed polymorphs**: 0.212 eV per atom
! **Symmetry**: P4/mmm (123)

=====

! Ta3B4 GGA-PBEsol optimized geometry; values from VASP
&SYSTEM
  ibrav = 0, nat = 7, ntyp = 2
/
ATOMIC_SPECIES
B 10.81 B.upf
Ta 180.95 Ta.upf
CELL_PARAMETERS angstrom
3.1253 0.0000 0.0000
0.0000 3.2764 0.0000
-1.5627 -1.6382 6.9848
ATOMIC_POSITIONS angstrom
B 0.0000 1.6382 0.8974
B 1.5627 0.0000 6.0874
B 0.0000 0.0000 5.1193
B 1.5627 1.6382 1.8654
Ta 1.5627 1.6382 4.3961
Ta 0.0000 0.0000 2.5886
Ta 1.5627 0.0000 0.0000
! **Crystal system**: orthorhombic
! **Symmetry**: Immm (71)
! **Formation energy from the elements**: -841 meV/atom

=====

! MgFeHBr2 GGA-PBEsol optimized geometry; values from VASP
&SYSTEM
  ibrav = 0, nat = 5, ntyp = 4
/
ATOMIC_SPECIES
H 1.01 H.upf
Br 79.90 Br.upf
Fe 55.84 Fe.upf
Mg 24.30 Mg.upf
CELL_PARAMETERS angstrom
3.3147 0.0000 0.0000
0.0000 5.2572 0.0000
0.0000 0.0000 5.2572
ATOMIC_POSITIONS angstrom
H 0.0000 0.0000 0.0000
Br 0.0000 0.0000 2.6286
Br 0.0000 2.6286 0.0000
Fe 1.6573 2.6286 2.6286
Mg 1.6573 0.0000 0.0000
! **Raw total energy**: -3.3068 eV per atom
! **Crystal system**: tetragonal
! **Symmetry**: P4/mmm (123)

=====

! La3IrW GGA-PBEsol optimized geometry; values from VASP
&SYSTEM
  ibrav = 0, nat = 5, ntyp = 3
/
ATOMIC_SPECIES
La 138.91 La.upf
Ir 192.22 Ir.upf
W 183.84 W.upf
CELL_PARAMETERS angstrom
5.2871 0.0000 0.0000
0.0000 5.2871 0.0000
0.0000 0.0000 5.2871
ATOMIC_POSITIONS angstrom
La 0.0000 0.0000 2.6435
La 0.0000 2.6435 0.0000
La 2.6435 0.0000 0.0000
Ir 2.6435 2.6435 2.6435
W 0.0000 0.0000 0.0000
! **Crystal system**: cubic
! **Symmetry**: Pm-3m (221)
! **Formation energy from the elements**: 869 meV/atom

=====

! Na2ScTa GGA-PBEsol optimized geometry; values from VASP
&SYSTEM
  ibrav = 0, nat = 8, ntyp = 3
/
ATOMIC_SPECIES
Sc 44.96 Sc.upf
Ta 180.95 Ta.upf
Na 22.99 Na.upf
CELL_PARAMETERS angstrom
-2.9357 -4.4308 -0.4995
2.3845 -4.3317 -4.1187
1.5453 -4.7034 4.1114
ATOMIC_POSITIONS angstrom
Sc 1.2310 -5.6253 -0.1285
Sc -1.4678 -2.2154 -0.2497
Ta -0.2369 -7.8406 -0.3782
Ta 0.0000 0.0000 0.0000
Na 0.1717 -10.7449 1.5869
Na 2.7667 -7.2215 -2.1271
Na -1.0387 -5.1367 1.7452
Na 0.0885 -3.8287 -2.2185
! **Crystal system**: tetragonal
! **Symmetry**: I-42d (122)
! **Formation energy from the elements**: 1291 meV/atom

=====

! Re2SiAu GGA-PBEsol optimized geometry; values from VASP
&SYSTEM
  ibrav = 0, nat = 4, ntyp = 3
/
ATOMIC_SPECIES
Re 186.21 Re.upf
Si 28.09 Si.upf
Au 196.97 Au.upf
CELL_PARAMETERS angstrom
2.8261 0.0000 -0.0145
0.0000 3.9007 0.0000
-1.3867 0.0000 5.3976
ATOMIC_POSITIONS angstrom
Re 1.2429 1.9504 1.3774
Re 2.6499 0.0000 0.1509
Si -0.1628 0.0000 2.5264
Au -0.1580 1.9504 4.0128
! **Formation energy without anion corrections**: 65.4 kJ/mol of formula units
! **Crystal system**: orthorhombic
! **Symmetry**: Amm2 (38)

=====

! LiHgTe GGA-PBEsol optimized geometry; values from VASP
&SYSTEM
  ibrav = 0, nat = 3, ntyp = 3
/
ATOMIC_SPECIES
Te 127.60 Te.upf
Li 6.94 Li.upf
Hg 200.59 Hg.upf
CELL_PARAMETERS angstrom
-1.5906 2.3532 -3.9687
0.1534 -2.1881 -4.3596
-4.1386 -1.4022 -2.1735
ATOMIC_POSITIONS angstrom
Te -2.7879 -0.6186 -5.2509
Li 0.0000 0.0000 0.0000
Hg -1.3940 -0.3093 -2.6254
! **Formation energy without anion corrections**: -78.6 kJ/mol of formula units
! **Crystal system**: cubic
! **Relative energy among the computed polymorphs**: 0.096 eV per atom
! **Symmetry**: F-43m (216)

=====

! In2FeCu GGA-PBEsol optimized geometry; values from VASP
&SYSTEM
  ibrav = 0, nat = 4, ntyp = 3
/
ATOMIC_SPECIES
In 114.82 In.upf
Cu 63.55 Cu.upf
Fe 55.84 Fe.upf
CELL_PARAMETERS angstrom
4.5306 0.0000 0.0000
2.2653 3.9236 0.0000
2.2653 1.3079 3.6992
ATOMIC_POSITIONS angstrom
In 0.0000 0.0000 0.0000
In 6.7958 3.9236 2.7744
Cu 4.5306 2.6157 1.8496
Fe 2.2653 1.3079 0.9248
! **Crystal system**: cubic
! **Relative energy among the computed polymorphs**: 0.262 eV per atom
! **Symmetry**: F-43m (216)
! **Formation energy from the elements**: 458 meV/atom

=====

! Zr5Zn4 GGA-PBEsol optimized geometry; values from VASP
&SYSTEM
  ibrav = 0, nat = 18, ntyp = 2
/
ATOMIC_SPECIES
Zn 65.41 Zn.upf
Zr 91.22 Zr.upf
CELL_PARAMETERS angstrom
-5.1076 -2.0948 1.1886
0.3878 -4.7520 -6.7082
2.8274 -2.8079 7.2009
ATOMIC_POSITIONS angstrom
Zn -0.1132 -3.2598 0.4755
Zn -2.8074 -2.5873 3.4977
Zn 0.0000 0.0000 0.0000
Zn -2.5538 -1.0474 0.5943
Zn -1.7791 -6.3948 1.2059
Zn 0.5272 -2.3153 4.8919
Zn -3.6903 -3.2909 -1.5364
Zn -1.0294 -3.5558 -3.9832
Zr 0.9777 -5.8250 0.6427
Zr 2.0142 -3.4559 2.5646
Zr -1.8480 -3.5401 5.9411
Zr 1.2010 -4.1040 -2.0718
Zr -2.8701 -3.8297 1.0387
Zr -1.1610 -1.9434 -1.7070
Zr -1.3528 -5.1513 -1.4775
Zr -3.5587 -4.9034 -3.8126
Zr -0.5396 -4.5033 3.1589
Zr -0.4322 -1.3626 2.4485
! **Crystal system**: hexagonal
! **Symmetry**: P6_3/mcm (193)
! **Formation energy from the elements**: -216 meV/atom

=====

! MgAlW2 GGA-PBEsol optimized geometry; values from VASP
&SYSTEM
  ibrav = 0, nat = 4, ntyp = 3
/
ATOMIC_SPECIES
Mg 24.30 Mg.upf
Al 26.98 Al.upf
W 183.84 W.upf
CELL_PARAMETERS angstrom
-2.6854 0.6273 0.0630
0.3356 -2.6719 0.5978
0.6907 2.0677 8.8533
ATOMIC_POSITIONS angstrom
Mg -1.0042 -0.5113 2.5185
Al 0.3556 1.0646 4.5582
W 0.6825 2.0431 8.7482
W -0.6570 0.5282 6.9692
! **Crystal system**: orthorhombic
! **Relative energy among the computed polymorphs**: 0.000 eV per atom
! **Symmetry**: Cmm2 (35)
! **Formation energy from the elements**: 181 meV/atom

=====

! RbCl GGA-PBEsol optimized geometry; values from VASP
&SYSTEM
  ibrav = 0, nat = 2, ntyp = 2
/
ATOMIC_SPECIES
Cl 35.45 Cl.upf
Rb 85.47 Rb.upf
CELL_PARAMETERS angstrom
-1.4954 -2.8418 3.3260
2.2567 -0.2336 4.0283
-1.9223 1.7340 3.8304
ATOMIC_POSITIONS angstrom
Cl -0.5805 -0.6707 5.5923
Rb 0.0000 0.0000 0.0000
! **Formation energy without anion corrections**: -372.3 kJ/mol of formula units
! **Crystal system**: cubic
! **Symmetry**: Fm-3m (225)